(1)
# CuReIr2

A geometry-optimized CuReIr2 structure (PBE, Alexandria via LeMat-Bulk).

Energy above the most stable polymorph in this dataset in eV/atom: 0.205
Crystal system: tetragonal
Symmetry: No. 119
Energy relative to the elements in eV per atom: 0.111

abc: 4.786 4.786 4.786
angles: 133.68 133.68 67.59
Element x y z (fractional)
Cu 0.000 0.000 0.000
Re 0.750 0.250 0.500
Ir 0.250 0.750 0.500
Ir 0.500 0.500 0.000

(2)
# CuReIr2

A geometry-optimized CuReIr2 structure (PBE, Alexandria via LeMat-Bulk).

Energy above the most stable polymorph in this dataset in eV/atom: 0.130
Crystal system: tetragonal
Symmetry: No. 139
Energy relative to the elements in eV per atom: 0.036

abc: 4.654 4.654 4.654
angles: 130.92 130.92 71.94
Element x y z (fractional)
Cu 0.000 0.000 0.000
Re 0.500 0.500 0.000
Ir 0.250 0.750 0.500
Ir 0.750 0.250 0.500

(3)
# CuReIr

A geometry-optimized CuReIr structure (PBE, Alexandria via LeMat-Bulk).

Energy above the most stable polymorph in this dataset in eV/atom: 0.078
Crystal system: hexagonal
Symmetry: No. 187
Energy relative to the elements in eV per atom: 0.107

abc: 4.241 4.241 2.670
angles: 90.00 90.00 120.00
Element x y z (fractional)
Cu 0.000 0.000 0.000
Re 0.333 0.667 0.500
Ir 0.667 0.333 0.000

(4)
# CuReIr2

A geometry-optimized CuReIr2 structure (PBE, Alexandria via LeMat-Bulk).

Energy above the most stable polymorph in this dataset in eV/atom: 0.419
Crystal system: orthorhombic
Symmetry: No. 35
Energy relative to the elements in eV per atom: 0.325

abc: 2.685 2.685 9.178
angles: 90.00 90.00 118.43
Element x y z (fractional)
Cu 0.000 0.000 0.000
Re 0.500 0.500 0.753
Ir 0.000 0.000 0.504
Ir 0.500 0.500 0.243

(5)
# Cu2ReIr

A geometry-optimized Cu2ReIr structure (PBE, Alexandria via LeMat-Bulk).

Energy above the most stable polymorph in this dataset in eV/atom: 0.196
Crystal system: orthorhombic
Symmetry: No. 35
Energy relative to the elements in eV per atom: 0.260

abc: 2.658 2.658 8.865
angles: 90.00 90.00 116.90
Element x y z (fractional)
Cu 0.000 0.000 0.000
Cu 0.500 0.500 0.233
Re 0.000 0.000 0.489
Ir 0.500 0.500 0.744

(6)
# CuReIr2

A geometry-optimized CuReIr2 structure (PBE, Alexandria via LeMat-Bulk).

Energy above the most stable polymorph in this dataset in eV/atom: 0.036
Crystal system: orthorhombic
Symmetry: No. 47
Energy relative to the elements in eV per atom: -0.058

abc: 2.748 3.782 5.411
angles: 90.00 90.00 90.00
Element x y z (fractional)
Cu 0.000 0.000 0.000
Re 0.000 0.000 0.500
Ir 0.500 0.500 0.248
Ir 0.500 0.500 0.752

(7)
# CuReIr2

A geometry-optimized CuReIr2 structure (PBE, Alexandria via LeMat-Bulk).

Energy above the most stable polymorph in this dataset in eV/atom: 0.458
Crystal system: orthorhombic
Symmetry: No. 47
Energy relative to the elements in eV per atom: 0.364

abc: 2.745 4.521 4.637
angles: 90.00 90.00 90.00
Element x y z (fractional)
Cu 0.000 0.000 0.000
Re 0.500 0.000 0.500
Ir 0.000 0.500 0.500
Ir 0.500 0.500 0.000

(8)
# Cu2ReIr

A geometry-optimized Cu2ReIr structure (PBE, Alexandria via LeMat-Bulk).

Energy above the most stable polymorph in this dataset in eV/atom: 0.280
Crystal system: orthorhombic
Symmetry: No. 65
Energy relative to the elements in eV per atom: 0.344

abc: 4.740 4.740 2.665
angles: 90.00 90.00 114.53
Element x y z (fractional)
Cu 0.000 0.500 0.000
Cu 0.500 0.000 0.000
Re 0.000 0.000 0.500
Ir 0.500 0.500 0.500

(9)
# CuReIr4

A geometry-optimized CuReIr4 structure (PBE, Alexandria via LeMat-Bulk).

Crystal system: cubic
Symmetry: No. 216
Energy relative to the elements in eV per atom: 0.611

abc: 5.099 5.099 5.099
angles: 60.00 60.00 60.00
Element x y z (fractional)
Cu 0.000 0.000 0.000
Re 0.250 0.250 0.250
Ir 0.124 0.625 0.625
Ir 0.625 0.124 0.625
Ir 0.625 0.625 0.124
Ir 0.625 0.625 0.625

(10)
# Cu2ReIr

A geometry-optimized Cu2ReIr structure (PBE, Alexandria via LeMat-Bulk).

Energy above the most stable polymorph in this dataset in eV/atom: 0.159
Crystal system: orthorhombic
Symmetry: No. 44
Energy relative to the elements in eV per atom: 0.223

abc: 4.995 4.995 4.995
angles: 146.79 128.34 62.80
Element x y z (fractional)
Cu 0.000 0.000 0.000
Cu 0.773 0.273 0.500
Re 0.515 0.515 0.000
Ir 0.255 0.755 0.500

(11)
# CuReIr2

A geometry-optimized CuReIr2 structure (PBE, Alexandria via LeMat-Bulk).

Energy above the most stable polymorph in this dataset in eV/atom: 0.155
Crystal system: monoclinic
Symmetry: No. 6
Energy relative to the elements in eV per atom: 0.061

abc: 2.744 3.884 5.304
angles: 90.00 90.08 90.00
Element x y z (fractional)
Cu 0.000 0.000 0.000
Re 0.499 0.500 0.257
Ir 0.000 0.000 0.490
Ir 0.501 0.500 0.777

(12)
# Cu2ReIr

A geometry-optimized Cu2ReIr structure (PBE, Alexandria via LeMat-Bulk).

Energy above the most stable polymorph in this dataset in eV/atom: 0.333
Crystal system: tetragonal
Symmetry: No. 123
Energy relative to the elements in eV per atom: 0.397

abc: 3.718 3.718 3.934
angles: 90.00 90.00 90.00
Element x y z (fractional)
Cu 0.000 0.500 0.000
Cu 0.500 0.000 0.000
Re 0.000 0.000 0.500
Ir 0.500 0.500 0.500

no.,total energy (eV/atom)
1,-8.455
2,-8.531
3,-8.362
4,-8.241
5,-7.115
6,-8.624
7,-8.202
8,-7.031
9,-8.054
10,-7.153
11,-8.506
12,-6.978